Entry 1:
12
Lattice="7.216 0.000 0.000 0.000 7.216 0.000 0.000 0.000 7.216" Properties=species:S:1:pos:R:3 comment="KAgCl | Alexandria via LeMat-Bulk | meta-GGA SCAN | single point on PBEsol structure" final_energy_ev_per_atom=-16.3350 e_form_raw_mev_per_atom=-444 pbc="T T T"
K 0.000 0.000 0.000
K 0.000 3.608 3.608
K 3.608 0.000 3.608
K 3.608 3.608 0.000
Ag 1.804 1.804 5.412
Ag 1.804 5.412 1.804
Ag 5.412 1.804 1.804
Ag 5.412 5.412 5.412
Cl 1.804 1.804 1.804
Cl 1.804 5.412 5.412
Cl 5.412 1.804 5.412
Cl 5.412 5.412 1.804


Entry 2:
5
Lattice="5.156 0.000 0.000 0.000 5.156 0.000 0.000 0.000 5.156" Properties=species:S:1:pos:R:3 comment="KAg3Cl | Alexandria via LeMat-Bulk | meta-GGA SCAN | single point on PBEsol structure" final_energy_ev_per_atom=-21.6294 e_form_raw_mev_per_atom=452 pbc="T T T"
K 0.000 0.000 0.000
Ag 0.000 2.578 2.578
Ag 2.578 0.000 2.578
Ag 2.578 2.578 0.000
Cl 2.578 2.578 2.578


Entry 3:
12
Lattice="4.482 0.000 0.000 -2.241 3.882 0.000 0.000 0.000 23.626" Properties=species:S:1:pos:R:3 comment="K2AgCl | Alexandria via LeMat-Bulk | meta-GGA SCAN | single point on PBEsol structure" final_energy_ev_per_atom=-14.9792 e_form_raw_mev_per_atom=-979 pbc="T T T"
K 0.000 0.000 5.710
K 0.000 0.000 17.916
K 0.000 2.588 10.041
K 0.000 2.588 21.460
K 2.241 1.294 2.166
K 2.241 1.294 13.585
Ag 0.000 0.000 0.000
Ag 0.000 2.588 15.751
Ag 2.241 1.294 7.875
Cl 0.000 0.000 11.813
Cl 0.000 2.588 3.938
Cl 2.241 1.294 19.688


Entry 4:
10
Lattice="0.000 5.174 5.174 5.174 0.000 5.174 5.174 5.174 0.000" Properties=species:S:1:pos:R:3 comment="K2LuAgCl6 | Alexandria via LeMat-Bulk | meta-GGA SCAN | single point on PBEsol structure" final_energy_ev_per_atom=-17.1196 e_form_raw_mev_per_atom=-1996 pbc="T T T"
K 2.587 2.587 2.587
K 7.761 7.761 7.761
Lu 0.000 0.000 0.000
Ag 5.174 5.174 5.174
Cl 5.174 5.174 2.534
Cl 5.174 2.534 5.174
Cl 7.814 5.174 5.174
Cl 2.534 5.174 5.174
Cl 5.174 7.814 5.174
Cl 5.174 5.174 7.814


Entry 5:
10
Lattice="0.000 5.324 5.324 5.324 0.000 5.324 5.324 5.324 0.000" Properties=species:S:1:pos:R:3 comment="K2NdAgCl6 | Alexandria via LeMat-Bulk | meta-GGA SCAN | single point on PBEsol structure" final_energy_ev_per_atom=-15.9053 e_form_raw_mev_per_atom=-1958 pbc="T T T"
K 2.662 2.662 2.662
K 7.985 7.985 7.985
Nd 0.000 0.000 0.000
Ag 5.324 5.324 5.324
Cl 5.324 5.324 2.683
Cl 5.324 2.683 5.324
Cl 7.964 5.324 5.324
Cl 2.683 5.324 5.324
Cl 5.324 7.964 5.324
Cl 5.324 5.324 7.964


Entry 6:
10
Lattice="0.000 5.241 5.241 5.241 0.000 5.241 5.241 5.241 0.000" Properties=species:S:1:pos:R:3 comment="K2TbAgCl6 | Alexandria via LeMat-Bulk | meta-GGA SCAN | single point on PBEsol structure" final_energy_ev_per_atom=-16.2491 e_form_raw_mev_per_atom=-1984 pbc="T T T"
K 2.621 2.621 2.621
K 7.862 7.862 7.862
Tb 0.000 0.000 0.000
Ag 5.241 5.241 5.241
Cl 5.241 5.241 2.601
Cl 5.241 2.601 5.241
Cl 7.881 5.241 5.241
Cl 2.601 5.241 5.241
Cl 5.241 7.881 5.241
Cl 5.241 5.241 7.881


Entry 7:
10
Lattice="0.000 5.177 5.177 5.177 0.000 5.177 5.177 5.177 0.000" Properties=species:S:1:pos:R:3 comment="K2TlAgCl6 | Alexandria via LeMat-Bulk | meta-GGA SCAN | single point on PBEsol structure" final_energy_ev_per_atom=-18.1182 e_form_raw_mev_per_atom=-1293 pbc="T T T"
K 2.588 2.588 2.588
K 7.765 7.765 7.765
Tl 0.000 0.000 0.000
Ag 5.177 5.177 5.177
Cl 5.177 5.177 2.610
Cl 5.177 2.610 5.177
Cl 7.743 5.177 5.177
Cl 2.610 5.177 5.177
Cl 5.177 7.743 5.177
Cl 5.177 5.177 7.743


Entry 8:
10
Lattice="0.000 5.228 5.228 5.228 0.000 5.228 5.228 5.228 0.000" Properties=species:S:1:pos:R:3 comment="K2YAgCl6 | Alexandria via LeMat-Bulk | meta-GGA SCAN | single point on PBEsol structure" final_energy_ev_per_atom=-14.3725 e_form_raw_mev_per_atom=-1999 pbc="T T T"
K 2.614 2.614 2.614
K 7.843 7.843 7.843
Y 0.000 0.000 0.000
Ag 5.228 5.228 5.228
Cl 5.228 5.228 2.590
Cl 5.228 2.590 5.228
Cl 7.867 5.228 5.228
Cl 2.590 5.228 5.228
Cl 5.228 7.867 5.228
Cl 5.228 5.228 7.867


Entry 9:
8
Lattice="4.760 0.000 0.000 0.000 5.768 0.000 0.000 0.000 7.429" Properties=species:S:1:pos:R:3 comment="La2AgCl | Alexandria via LeMat-Bulk | meta-GGA SCAN | single point on PBEsol structure" final_energy_ev_per_atom=-32.1975 polymorph_energy_ev_per_atom=0.243 e_form_raw_mev_per_atom=-809 pbc="T T T"
La 0.000 0.000 1.774
La 0.000 0.000 5.655
La 2.380 2.884 1.941
La 2.380 2.884 5.489
Ag 0.000 2.884 0.000
Ag 2.380 0.000 3.715
Cl 0.000 2.884 3.715
Cl 2.380 0.000 0.000


Entry 10:
6
Lattice="0.000 4.438 4.438 4.438 0.000 4.438 4.438 4.438 0.000" Properties=species:S:1:pos:R:3 comment="La4AgCl | Alexandria via LeMat-Bulk | meta-GGA SCAN | single point on PBEsol structure" final_energy_ev_per_atom=-35.1671 e_form_raw_mev_per_atom=127 pbc="T T T"
La 1.107 1.107 1.107
La 3.331 3.331 1.107
La 3.331 1.107 3.331
La 1.107 3.331 3.331
Ag 6.657 6.657 6.657
Cl 4.438 4.438 4.438


Entry 11:
4
Lattice="5.441 0.000 0.000 0.000 5.441 0.000 0.000 0.000 3.333" Properties=species:S:1:pos:R:3 comment="La2AgCl | Alexandria via LeMat-Bulk | meta-GGA SCAN | single point on PBEsol structure" final_energy_ev_per_atom=-32.2578 polymorph_energy_ev_per_atom=0.182 e_form_raw_mev_per_atom=-869 pbc="T T T"
La 0.000 2.721 0.000
La 2.721 0.000 0.000
Ag 0.000 0.000 1.666
Cl 2.721 2.721 1.666


Entry 12:
8
Lattice="7.553 0.000 0.000 0.000 4.366 0.000 -2.523 0.000 6.569" Properties=species:S:1:pos:R:3 comment="La2AgCl | Alexandria via LeMat-Bulk | meta-GGA SCAN | single point on PBEsol structure" final_energy_ev_per_atom=-32.4046 polymorph_energy_ev_per_atom=0.035 e_form_raw_mev_per_atom=-1016 pbc="T T T"
La 1.257 0.000 1.513
La -0.004 2.183 5.056
La 5.034 2.183 1.513
La 3.773 0.000 5.056
Ag -1.262 0.000 3.284
Ag 2.515 2.183 3.284
Cl 0.000 2.183 0.000
Cl 3.777 0.000 0.000